[1]
{
  "formula": "Pm3Cu2Rh3",
  "functional": "GGA-PBE",
  "state": "optimized geometry",
  "space_group": "No. 63",
  "lattice": [[-0.752, 3.673, -1.975], [-3.087, -4.330, -2.331], [-10.619, 2.694, 9.056]],
  "species": ["Pm", "Pm", "Pm", "Pm", "Pm", "Pm", "Cu", "Cu", "Cu", "Cu", "Rh", "Rh", "Rh", "Rh", "Rh", "Rh"],
  "fractional_positions": [[0.910, 0.819, 0.395], [0.090, 0.181, 0.895], [0.910, 0.819, 0.105], [0.090, 0.181, 0.605], [0.637, 0.273, 0.250], [0.363, 0.727, 0.750], [0.788, 0.575, 0.902], [0.212, 0.425, 0.402], [0.788, 0.575, 0.598], [0.212, 0.425, 0.098], [0.608, 0.216, 0.457], [0.392, 0.784, 0.957], [0.608, 0.216, 0.043], [0.392, 0.784, 0.543], [0.356, 0.711, 0.250], [0.644, 0.289, 0.750]]
}

***

[2]
{
  "formula": "Pm5CuRh4",
  "functional": "GGA-PBE",
  "state": "optimized geometry",
  "space_group": "No. 123",
  "lattice": [[-2.430, -2.547, 0.308], [0.135, -0.551, -3.488], [12.830, -11.952, 2.385]],
  "species": ["Pm", "Pm", "Pm", "Pm", "Pm", "Cu", "Rh", "Rh", "Rh", "Rh"],
  "fractional_positions": [[0.500, 0.500, 0.105], [0.500, 0.500, 0.301], [0.500, 0.500, 0.500], [0.500, 0.500, 0.699], [0.500, 0.500, 0.895], [0.000, 0.000, 0.000], [0.000, 0.000, 0.200], [0.000, 0.000, 0.400], [0.000, 0.000, 0.600], [0.000, 0.000, 0.800]]
}

***

[3]
{
  "formula": "Pm4Cu2Rh",
  "functional": "GGA-PBE",
  "state": "optimized geometry",
  "space_group": "No. 166",
  "lattice": [[-1.735, -1.859, 4.305], [1.909, -4.238, 1.842], [5.644, 2.269, 6.158]],
  "species": ["Rh", "Cu", "Cu", "Pm", "Pm", "Pm", "Pm"],
  "fractional_positions": [[0.000, 0.000, 0.000], [0.754, 0.754, 0.739], [0.246, 0.246, 0.261], [0.877, 0.877, 0.369], [0.123, 0.123, 0.631], [0.626, 0.626, 0.122], [0.374, 0.374, 0.878]]
}

***

Computed volume (Å³/cell) in order:
326; 221; 177
Computed ΔH_f (0 K) (eV per atom) in order:
-0.488; -0.586; -0.223